4
Lattice="0.000 2.754 2.754 2.754 0.000 2.754 2.754 2.754 0.000" Properties=species:S:1:pos:R:3 comment="BeCrCoNi PBE optimized geometry" e_form_ev_per_atom=-0.0509 magmom_total_mub_per_atom=0.71 e_tot_ev_per_atom=-6.610 spacegroup="F-43m, No. 216" pbc="T T T"
Be 0.000 0.000 0.000
Cr 2.754 2.754 2.754
Co 1.377 1.377 1.377
Ni 4.131 4.131 4.131